(P)
# ScMn2Br

A geometry-optimized ScMn2Br structure (PBE, Alexandria via LeMat-Bulk).

abc: 8.8381 8.8381 8.8381
angles: 21.45 21.45 21.45
Each line ends with the local moment (μB).
Fractional positions:
Br 0.7500 0.7500 0.7500  0.08
Sc 0.2500 0.2500 0.2500  -0.46
Mn 0.0027 0.0027 0.0027  3.81
Mn 0.4973 0.4973 0.4973  3.81

Values from the calculation:
theoretical density = 4818 kg/m³
space-group type = R-3m (166)
total magnetization = 7.38 μB per cell


(Q)
# ScMn2Br

A geometry-optimized ScMn2Br structure (PBE, Alexandria via LeMat-Bulk).

abc: 3.1973 3.2354 7.5169
angles: 77.62 90.00 90.00
Each line ends with the local moment (μB).
Fractional positions:
Sc 0.0000 0.5738 0.4779  0.39
Mn 0.5000 0.1994 0.2255  -3.02
Mn 0.0000 0.7766 0.0711  3.38
Br 0.5000 0.9502 0.7255  -0.01

Values from the calculation:
theoretical density = 5132 kg/m³
space-group type = Amm2 (38)
total magnetization = 0.92 μB per cell


Going by the computed energies, the most stable comes first: (Q), (P).


(P)
# ScMn2Br

A geometry-optimized ScMn2Br structure (PBE, Alexandria via LeMat-Bulk).

abc: 5.2245 5.2245 5.2245
angles: 133.52 133.52 67.84
Each line ends with the local moment (μB).
Fractional positions:
Br 0.7500 0.2500 0.5000  0.09
Mn 0.0000 0.0000 0.0000  3.51
Mn 0.2500 0.7500 0.5000  3.47
Sc 0.5000 0.5000 0.0000  -0.43

Values from the calculation:
theoretical density = 5289 kg/m³
space-group type = I-4m2 (119)
total magnetization = 6.86 μB per cell


(Q)
# ScMn2Br

A geometry-optimized ScMn2Br structure (PBE, Alexandria via LeMat-Bulk).

abc: 3.5538 3.5458 5.7631
angles: 90.00 90.00 90.00
Each line ends with the local moment (μB).
Fractional positions:
Mn 0.0000 0.0000 0.4793  3.30
Mn 0.0000 0.0000 0.0207  3.30
Br 0.5000 0.5000 0.7500  0.05
Sc 0.5000 0.5000 0.2500  -0.53

Values from the calculation:
theoretical density = 5367 kg/m³
space-group type = P4/mmm (123)
total magnetization = 6.15 μB per cell


(R)
# ScMn2Br

A geometry-optimized ScMn2Br structure (PBE, Alexandria via LeMat-Bulk).

abc: 7.7225 7.7225 6.0903
angles: 50.65 50.65 90.00
Each line ends with the local moment (μB).
Fractional positions:
Mn 0.8750 0.9127 0.7500  3.77
Sc 0.5000 0.5000 0.0000  -0.20
Mn 0.3750 0.3373 0.7500  3.79
Sc 0.2500 0.7500 0.5000  -0.20
Mn 0.0873 0.6250 0.2500  3.75
Mn 0.6627 0.1250 0.2500  3.78
Br 0.7500 0.2500 0.5000  0.08
Br 0.0000 0.0000 0.0000  0.07

Values from the calculation:
theoretical density = 4847 kg/m³
space-group type = I-42d (122)
total magnetization = 15.83 μB per cell


(S)
# ScMn2Br

A geometry-optimized ScMn2Br structure (PBE, Alexandria via LeMat-Bulk).

abc: 4.3408 4.3408 4.3408
angles: 60.00 60.00 60.00
Each line ends with the local moment (μB).
Fractional positions:
Mn 0.2500 0.2500 0.2500  0.49
Mn 0.7500 0.7500 0.7500  0.49
Sc 0.0000 0.0000 0.0000  -0.12
Br 0.5000 0.5000 0.5000  -0.02

Values from the calculation:
theoretical density = 6739 kg/m³
space-group type = Fm-3m (225)
total magnetization = 0.82 μB per cell


Going by the computed energies, the most stable comes first: (Q), (R), (P), (S).


(P)
# ScMn2Br

A geometry-optimized ScMn2Br structure (PBE, Alexandria via LeMat-Bulk).

abc: 5.3086 5.3086 3.2949
angles: 90.00 90.00 119.44
Each line ends with the local moment (μB).
Fractional positions:
Mn 0.0000 0.0000 0.0000  3.81
Br 0.0000 0.5000 0.5000  0.10
Mn 0.5000 0.5000 0.0000  3.81
Sc 0.5000 0.0000 0.5000  -0.31

Values from the calculation:
theoretical density = 4820 kg/m³
space-group type = Cmmm (65)
total magnetization = 7.85 μB per cell


(Q)
# ScMn2Br

A geometry-optimized ScMn2Br structure (PBE, Alexandria via LeMat-Bulk).

abc: 3.1849 3.1849 8.5371
angles: 90.00 90.00 90.00
Each line ends with the local moment (μB).
Fractional positions:
Mn 0.0000 0.0000 0.1126  3.56
Sc 0.0000 0.0000 0.4694  0.40
Br 0.5000 0.5000 0.6736  0.00
Mn 0.5000 0.5000 0.2444  -2.81

Values from the calculation:
theoretical density = 4501 kg/m³
space-group type = P4mm (99)
total magnetization = 1.47 μB per cell


Going by the computed energies, the most stable comes first: (Q), (P).


(P)
# ScMn2Br

A geometry-optimized ScMn2Br structure (PBE, Alexandria via LeMat-Bulk).

abc: 3.1847 4.6007 5.0146
angles: 90.00 90.00 90.00
Each line ends with the local moment (μB).
Fractional positions:
Mn 0.0000 0.0000 0.0000  3.19
Mn 0.5000 0.5000 0.0000  3.76
Br 0.0000 0.5000 0.5000  0.06
Sc 0.5000 0.0000 0.5000  -0.51

Values from the calculation:
theoretical density = 5305 kg/m³
space-group type = Pmmm (47)
total magnetization = 6.64 μB per cell


(Q)
# ScMn2Br

A geometry-optimized ScMn2Br structure (PBE, Alexandria via LeMat-Bulk).

abc: 4.5945 5.8888 3.1737
angles: 74.74 89.08 112.69
Each line ends with the local moment (μB).
Fractional positions:
Mn 0.5000 0.0000 0.5000  3.56
Sc 0.0000 0.5000 0.5000  -0.59
Mn 0.0000 0.0000 0.0000  3.56
Br 0.5000 0.5000 0.0000  0.07

Values from the calculation:
theoretical density = 5145 kg/m³
space-group type = C2/m (12)
total magnetization = 6.79 μB per cell


Going by the computed energies, the most stable comes first: (P), (Q).


(P)
# ScMn2Br

A geometry-optimized ScMn2Br structure (PBE, Alexandria via LeMat-Bulk).

abc: 4.8856 3.1719 4.7413
angles: 90.03 90.00 90.00
Each line ends with the local moment (μB).
Fractional positions:
Sc 0.5000 0.2500 0.2500  -0.63
Br 0.5000 0.7500 0.7500  0.03
Mn 0.0000 0.9490 0.0184  3.40
Mn 0.0000 0.5510 0.4816  3.40

Values from the calculation:
theoretical density = 5305 kg/m³
space-group type = P2/m (10)
total magnetization = 6.23 μB per cell


(Q)
# ScMn2Br

A geometry-optimized ScMn2Br structure (PBE, Alexandria via LeMat-Bulk).

abc: 7.2111 7.2111 7.2111
angles: 28.46 28.46 28.46
Fractional positions:
Mn 0.9622 0.9622 0.9622
Mn 0.2643 0.2643 0.2643
Br 0.7571 0.7571 0.7571
Sc 0.5164 0.5164 0.5164

Values from the calculation:
theoretical density = 5178 kg/m³
space-group type = R3m (160)
total magnetization = 0.00 μB per cell


(R)
# ScMn2Br

A geometry-optimized ScMn2Br structure (PBE, Alexandria via LeMat-Bulk).

abc: 4.9412 3.8294 3.8294
angles: 90.00 90.00 90.00
Each line ends with the local moment (μB).
Fractional positions:
Mn 0.0000 0.0000 0.0000  3.40
Sc 0.5000 0.5000 0.0000  -0.51
Mn 0.0000 0.5000 0.5000  3.40
Br 0.5000 0.0000 0.5000  0.06

Values from the calculation:
theoretical density = 5379 kg/m³
space-group type = P4/mmm (123)
total magnetization = 6.46 μB per cell


Going by the computed energies, the most stable comes first: (Q), (P), (R).


(P)
# ScMnBr2

A geometry-optimized ScMnBr2 structure (PBE, Alexandria via LeMat-Bulk).

abc: 3.4234 3.4234 8.5786
angles: 90.00 90.00 90.00
Each line ends with the local moment (μB).
Fractional positions:
Br 0.0000 0.0000 0.9155  0.04
Sc 0.5000 0.5000 0.7199  -0.21
Br 0.5000 0.5000 0.3526  0.11
Mn 0.0000 0.0000 0.5119  3.96

Values from the calculation:
theoretical density = 4289 kg/m³
space-group type = P4mm (99)
total magnetization = 4.06 μB per cell


(Q)
# ScMnBr2

A geometry-optimized ScMnBr2 structure (PBE, Alexandria via LeMat-Bulk).

abc: 5.0820 5.0820 5.0820
angles: 60.00 60.00 60.00
Each line ends with the local moment (μB).
Fractional positions:
Mn 0.5000 0.5000 0.5000  3.97
Br 0.0000 0.0000 0.0000  0.10
Sc 0.2500 0.2500 0.2500  -0.44
Br 0.7500 0.7500 0.7500  0.12

Values from the calculation:
theoretical density = 4647 kg/m³
space-group type = F-43m (216)
total magnetization = 4.01 μB per cell


Going by the computed energies, the most stable comes first: (P), (Q).


(P)
# ScMnBr2

A geometry-optimized ScMnBr2 structure (PBE, Alexandria via LeMat-Bulk).

abc: 3.4417 6.0289 4.3414
angles: 90.00 90.00 90.00
Each line ends with the local moment (μB).
Fractional positions:
Mn 0.5000 0.0000 0.5000  3.98
Sc 0.0000 0.5000 0.5000  -0.27
Br 0.0000 0.0000 0.0000  0.02
Br 0.5000 0.5000 0.0000  0.01

Values from the calculation:
theoretical density = 4787 kg/m³
space-group type = Pmmm (47)
total magnetization = 3.78 μB per cell


(Q)
# ScMnBr2

A geometry-optimized ScMnBr2 structure (PBE, Alexandria via LeMat-Bulk).

abc: 3.5278 3.5278 9.9544
angles: 90.00 90.00 120.73
Each line ends with the local moment (μB).
Fractional positions:
Sc 0.5000 0.5000 0.7500  -0.20
Br 0.0000 0.0000 0.5453  0.00
Mn 0.5000 0.5000 0.2500  4.33
Br 0.0000 0.0000 0.9547  0.00

Values from the calculation:
theoretical density = 4050 kg/m³
space-group type = Cmmm (65)
total magnetization = 4.35 μB per cell


Going by the computed energies, the most stable comes first: (Q), (P).


(P)
# ScMnBr2

A geometry-optimized ScMnBr2 structure (PBE, Alexandria via LeMat-Bulk).

abc: 9.0505 9.0505 9.0505
angles: 23.11 23.11 23.11
Each line ends with the local moment (μB).
Fractional positions:
Mn 0.5000 0.5000 0.5000  3.96
Sc 0.0000 0.0000 0.0000  -0.17
Br 0.8964 0.8964 0.8964  0.06
Br 0.1036 0.1036 0.1036  0.06

Values from the calculation:
theoretical density = 4303 kg/m³
space-group type = R-3m (166)
total magnetization = 3.98 μB per cell


(Q)
# ScMnBr2

A geometry-optimized ScMnBr2 structure (PBE, Alexandria via LeMat-Bulk).

abc: 3.4851 5.8107 5.7223
angles: 47.80 90.00 90.00
Each line ends with the local moment (μB).
Fractional positions:
Mn 0.5000 0.5000 0.5000  3.90
Sc 0.0000 0.0000 0.5000  -0.52
Br 0.5000 0.5000 0.0000  0.00
Br 0.0000 0.0000 0.0000  0.03

Values from the calculation:
theoretical density = 5024 kg/m³
space-group type = P2/m (10)
total magnetization = 3.38 μB per cell


(R)
# ScMnBr2

A geometry-optimized ScMnBr2 structure (PBE, Alexandria via LeMat-Bulk).

abc: 6.5790 6.5790 6.5790
angles: 145.81 145.81 49.13
Each line ends with the local moment (μB).
Fractional positions:
Mn 0.5000 0.5000 0.0000  3.90
Sc 0.7500 0.2500 0.5000  -0.50
Br 0.0000 0.0000 0.0000  0.02
Br 0.2500 0.7500 0.5000  0.01

Values from the calculation:
theoretical density = 4818 kg/m³
space-group type = I-4m2 (119)
total magnetization = 3.34 μB per cell


(S)
# ScMnBr2

A geometry-optimized ScMnBr2 structure (PBE, Alexandria via LeMat-Bulk).

abc: 9.7027 9.7027 9.7027
angles: 21.57 21.57 21.57
Each line ends with the local moment (μB).
Fractional positions:
Br 0.0258 0.0258 0.0258  0.00
Sc 0.7543 0.7543 0.7543  -0.26
Br 0.2217 0.2217 0.2217  0.09
Mn 0.4983 0.4983 0.4983  4.03

Values from the calculation:
theoretical density = 3986 kg/m³
space-group type = R3m (160)
total magnetization = 4.02 μB per cell


Going by the computed energies, the most stable comes first: (S), (Q), (P), (R).


(P)
# ScMnBr2

A geometry-optimized ScMnBr2 structure (PBE, Alexandria via LeMat-Bulk).

abc: 7.0785 7.0785 7.0785
angles: 152.52 140.38 48.89
Each line ends with the local moment (μB).
Fractional positions:
Br 0.7790 0.2790 0.5000  0.04
Br 0.0664 0.0664 0.0000  0.03
Mn 0.4189 0.4189 0.0000  4.08
Sc 0.2357 0.7357 0.5000  -0.46

Values from the calculation:
theoretical density = 4149 kg/m³
space-group type = Imm2 (44)
total magnetization = 3.88 μB per cell


(Q)
# ScMnBr2

A geometry-optimized ScMnBr2 structure (PBE, Alexandria via LeMat-Bulk).

abc: 7.8112 7.8112 7.8112
angles: 153.34 145.80 43.88
Each line ends with the local moment (μB).
Fractional positions:
Br 0.1110 0.1110 0.0000  0.05
Br 0.3890 0.3890 0.0000  0.05
Sc 0.2500 0.7500 0.5000  -0.37
Mn 0.7500 0.2500 0.5000  3.89

Values from the calculation:
theoretical density = 3598 kg/m³
space-group type = Immm (71)
total magnetization = 3.92 μB per cell


Going by the computed energies, the most stable comes first: (Q), (P).


(P)
# ScMnBr2

A geometry-optimized ScMnBr2 structure (PBE, Alexandria via LeMat-Bulk).

abc: 10.3924 10.3924 10.3924
angles: 19.45 19.45 19.45
Each line ends with the local moment (μB).
Fractional positions:
Br 0.4758 0.4758 0.4758  0.00
Mn 0.2500 0.2500 0.2500  4.35
Br 0.0242 0.0242 0.0242  0.00
Sc 0.7500 0.7500 0.7500  -0.28

Values from the calculation:
theoretical density = 3962 kg/m³
space-group type = R-3m (166)
total magnetization = 4.32 μB per cell


(Q)
# ScMnBr2

A geometry-optimized ScMnBr2 structure (PBE, Alexandria via LeMat-Bulk).

abc: 4.8747 4.8747 4.8747
angles: 60.00 60.00 60.00
Each line ends with the local moment (μB).
Fractional positions:
Mn 0.5000 0.5000 0.5000  3.93
Br 0.7500 0.7500 0.7500  0.07
Br 0.2500 0.2500 0.2500  0.07
Sc 0.0000 0.0000 0.0000  -0.45

Values from the calculation:
theoretical density = 5265 kg/m³
space-group type = Fm-3m (225)
total magnetization = 3.79 μB per cell


Going by the computed energies, the most stable comes first: (P), (Q).


(P)
# ScMnBr2

A geometry-optimized ScMnBr2 structure (PBE, Alexandria via LeMat-Bulk).

abc: 5.8139 5.6471 3.5660
angles: 69.94 93.03 122.10
Each line ends with the local moment (μB).
Fractional positions:
Br 0.5000 0.0000 0.5000  0.01
Sc 0.5000 0.5000 0.0000  -0.40
Mn 0.0000 0.5000 0.5000  3.99
Br 0.0000 0.0000 0.0000  0.01

Values from the calculation:
theoretical density = 4692 kg/m³
space-group type = C2/m (12)
total magnetization = 3.58 μB per cell


(Q)
# ScMnBr2

A geometry-optimized ScMnBr2 structure (PBE, Alexandria via LeMat-Bulk).

abc: 9.7201 9.7201 9.7201
angles: 20.74 20.74 20.74
Each line ends with the local moment (μB).
Fractional positions:
Br 0.8974 0.8974 0.8974  0.00
Mn 0.0000 0.0000 0.0000  4.23
Sc 0.5000 0.5000 0.5000  -0.28
Br 0.1026 0.1026 0.1026  0.00

Values from the calculation:
theoretical density = 4275 kg/m³
space-group type = R-3m (166)
total magnetization = 4.15 μB per cell


(R)
# ScMnBr2

A geometry-optimized ScMnBr2 structure (PBE, Alexandria via LeMat-Bulk).

abc: 4.7615 4.7615 9.2880
angles: 75.15 75.15 90.00
Each line ends with the local moment (μB).
Fractional positions:
Br 0.8750 0.8767 0.7500  0.01
Br 0.6267 0.1250 0.2500  0.01
Sc 0.2500 0.7500 0.5000  -0.42
Sc 0.5000 0.5000 0.0000  -0.42
Br 0.1233 0.6250 0.2500  0.01
Mn 0.7500 0.2500 0.5000  3.83
Br 0.3750 0.3733 0.7500  0.01
Mn 0.0000 0.0000 0.0000  3.83

Values from the calculation:
theoretical density = 4395 kg/m³
space-group type = I-42d (122)
total magnetization = 6.95 μB per cell


Going by the computed energies, the most stable comes first: (Q), (P), (R).